No. 1
CdSiHg2 after structural relaxation, computed with PBE-GGA.

Computed properties:
Energy above the lowest structure with this stoichiometry in meV per atom: 26
E_form (uncorrected) in eV/atom: 0.298
Final energy in eV for the cell shown: -5.75

Lattice parameters (Å, degrees): 3.7354 2.9069 8.4112 90.16 90.00 90.00
With the nearest neighbours (Å) after each atom.
Sites, in units of the cell vectors:
Cd  0.5000  0.7500  0.7500  2 Cd 2.91, 8 Hg 3.20-3.24
Hg  0.0000  0.2386  0.0092  2 Si 2.75, 2 Hg 2.91
Hg  0.0000  0.2614  0.4908  2 Si 2.75, 2 Hg 2.91
Si  0.5000  0.2500  0.2500  4 Hg 2.75, 2 Si 2.91

***

No. 2
Cd3SiHg after structural relaxation, computed with PBE-GGA.

Computed properties:
Energy above the lowest structure with this stoichiometry in meV per atom: 477
E_form (uncorrected) in eV/atom: 0.769
Final energy in eV for the cell shown: -4.63

Lattice parameters (Å, degrees): 5.3305 5.3305 5.3305 90.00 90.00 90.00
With the nearest neighbours (Å) after each atom.
Sites, in units of the cell vectors:
Si  0.5000  0.5000  0.5000  12 Cd 3.77
Hg  0.0000  0.0000  0.0000  6 Cd 2.67
Cd  0.0000  0.5000  0.0000  2 Hg 2.67
Cd  0.0000  0.0000  0.5000  2 Hg 2.67
Cd  0.5000  0.0000  0.0000  2 Hg 2.67

***

No. 3
CdSiHg2 after structural relaxation, computed with PBE-GGA.

Computed properties:
Energy above the lowest structure with this stoichiometry in meV per atom: 84
E_form (uncorrected) in eV/atom: 0.357
Final energy in eV for the cell shown: -5.51

Lattice parameters (Å, degrees): 5.4365 5.4365 5.4365 131.57 131.57 70.91
With the nearest neighbours (Å) after each atom.
Sites, in units of the cell vectors:
Cd  0.7500  0.2500  0.5000  8 Hg 3.14-3.15, 4 Si 3.14
Hg  0.0000  0.0000  0.0000  4 Cd 3.14, 4 Hg 3.14, 4 Si 3.15
Hg  0.2500  0.7500  0.5000  4 Hg 3.14, 4 Si 3.14, 4 Cd 3.15
Si  0.5000  0.5000  0.0000  8 Hg 3.14-3.15, 4 Cd 3.14

***

No. 4
CdSiHg2 after structural relaxation, computed with PBE-GGA.

Computed properties:
Energy above the lowest structure with this stoichiometry in meV per atom: 64
E_form (uncorrected) in eV/atom: 0.336
Final energy in eV for the cell shown: -5.60

Lattice parameters (Å, degrees): 3.2323 3.2323 10.4684 90.00 90.00 124.78
With the nearest neighbours (Å) after each atom.
Sites, in units of the cell vectors:
Cd  0.5000  0.5000  0.7500  6 Cd 3.00-3.23, 4 Hg 3.13
Hg  0.0000  0.0000  0.0123  2 Si 2.90, 6 Hg 3.00-3.23, 2 Cd 3.13
Hg  0.0000  0.0000  0.4877  2 Si 2.90, 6 Hg 3.00-3.23, 2 Cd 3.13
Si  0.5000  0.5000  0.2500  4 Hg 2.90, 6 Si 3.00-3.23

***

No. 5
Cd2SiHg2 after structural relaxation, computed with PBE-GGA.

Computed properties:
Energy above the lowest structure with this stoichiometry in meV per atom: 12
E_form (uncorrected) in eV/atom: 0.320
Final energy in eV for the cell shown: -12.52

Lattice parameters (Å, degrees): 7.2563 7.2563 4.5049 90.00 90.00 90.00
With the nearest neighbours (Å) after each atom.
Sites, in units of the cell vectors:
Si  0.0000  0.0000  0.0000  4 Hg 2.75
Si  0.5000  0.5000  0.0000  4 Hg 2.75
Hg  0.3460  0.8460  0.0000  2 Si 2.75, 2 Cd 2.99
Hg  0.8460  0.6540  0.0000  2 Si 2.75, 2 Cd 2.99
Hg  0.6540  0.1540  0.0000  2 Si 2.75, 2 Cd 2.99
Hg  0.1540  0.3460  0.0000  2 Si 2.75, 2 Cd 2.99
Cd  0.1549  0.6549  0.5000  6 Hg 2.99-3.18, 1 Cd 3.18
Cd  0.6549  0.8451  0.5000  6 Hg 2.99-3.18, 1 Cd 3.18
Cd  0.8451  0.3451  0.5000  6 Hg 2.99-3.18, 1 Cd 3.18
Cd  0.3451  0.1549  0.5000  6 Hg 2.99-3.18, 1 Cd 3.18

***

No. 6
CdSiHg2 after structural relaxation, computed with PBE-GGA.

Computed properties:
Energy above the lowest structure with this stoichiometry in meV per atom: 50
E_form (uncorrected) in eV/atom: 0.323
Final energy in eV for the cell shown: -5.65

Lattice parameters (Å, degrees): 3.2560 3.2560 8.3937 90.00 90.00 90.00
With the nearest neighbours (Å) after each atom.
Sites, in units of the cell vectors:
Cd  0.5000  0.5000  0.7228  4 Si 2.93, 4 Hg 3.24, 4 Cd 3.26
Hg  0.0000  0.0000  0.9939  4 Cd 3.24, 8 Hg 3.26-3.30
Hg  0.5000  0.5000  0.2762  4 Si 3.01, 8 Hg 3.26-3.30
Si  0.0000  0.0000  0.5070  4 Cd 2.93, 4 Hg 3.01, 4 Si 3.26

***

Number 1: spin magnetization 0.00 Bohr magnetons per cell. Number 2: spin magnetization 0.00 Bohr magnetons per cell. Number 3: spin magnetization 0.00 Bohr magnetons per cell. Number 4: spin magnetization 0.00 Bohr magnetons per cell. Number 5: spin magnetization 0.00 Bohr magnetons per cell. Number 6: spin magnetization 0.00 Bohr magnetons per cell.